The following is a PBE calculation of LaCeSm2Bi4 after structural relaxation, from Alexandria.

Lattice parameters (Å, degrees): 7.9702 4.6104 7.9854 90.00 109.48 90.00
With the nearest neighbours (Å) after each atom.
Fractional coordinates of all 8 atoms:
La 0.0000 0.0000 0.0000  6 Bi 3.29
Ce 0.0000 0.5000 0.5000  6 Bi 3.26
Sm 0.5000 0.0000 0.5000  6 Bi 3.22-3.23
Sm 0.5000 0.5000 0.0000  6 Bi 3.25-3.26
Bi 0.2531 0.0000 0.7480  3 Sm 3.22-3.25, 2 Ce 3.26, 1 La 3.29
Bi 0.2549 0.5000 0.2549  3 Sm 3.23-3.26, 1 Ce 3.26, 2 La 3.29
Bi 0.7451 0.5000 0.7451  3 Sm 3.23-3.26, 1 Ce 3.26, 2 La 3.29
Bi 0.7469 0.0000 0.2520  3 Sm 3.22-3.25, 2 Ce 3.26, 1 La 3.29

Energy relative to the elements ... -926 meV/atom
D(E_F) ... 0.886 states/eV/atom
Space-group type ... P2/m


The following is a PBE calculation of La2TbCeBi5 after structural relaxation, from Alexandria.

Lattice parameters (Å, degrees): 5.4688 5.4688 12.0929 90.00 90.00 90.00
With the nearest neighbours (Å) after each atom.
Fractional coordinates of all 9 atoms:
La 0.0000 0.0000 0.2192  1 Bi 3.40
La 0.0000 0.0000 0.7808  1 Bi 3.40
Tb 0.5000 0.5000 0.0000  6 Bi 2.73-3.05
Ce 0.5000 0.5000 0.5000  2 Bi 3.00
Bi 0.0000 0.0000 0.5000  2 La 3.40
Bi 0.0000 0.5000 0.0000  2 Tb 2.73
Bi 0.5000 0.0000 0.0000  2 Tb 2.73
Bi 0.5000 0.5000 0.2519  1 Ce 3.00, 1 Tb 3.05
Bi 0.5000 0.5000 0.7481  1 Ce 3.00, 1 Tb 3.05

Energy relative to the elements ... -258 meV/atom
D(E_F) ... 1.325 states/eV/atom
Space-group type ... P4/mmm


The following is a PBE calculation of La2TbCe3Bi6 after structural relaxation, from Alexandria.

Lattice parameters (Å, degrees): 8.0016 8.0016 8.0114 99.60 99.60 120.01
With the nearest neighbours (Å) after each atom.
Fractional coordinates of all 12 atoms:
La 0.1657 0.8343 0.0000  6 Bi 3.30
La 0.8343 0.1657 0.0000  6 Bi 3.30
Tb 0.5000 0.5000 0.0000  6 Bi 3.23-3.24
Ce 0.0000 0.0000 0.5000  6 Bi 3.24-3.29
Ce 0.3308 0.6692 0.5000  6 Bi 3.24-3.28
Ce 0.6692 0.3308 0.5000  6 Bi 3.24-3.28
Bi 0.0895 0.4166 0.7486  1 Tb 3.23, 3 Ce 3.24-3.28, 2 La 3.30
Bi 0.2585 0.2585 0.2546  1 Tb 3.24, 3 Ce 3.25-3.29, 2 La 3.30
Bi 0.4166 0.0895 0.7486  1 Tb 3.23, 3 Ce 3.24-3.28, 2 La 3.30
Bi 0.5834 0.9105 0.2514  1 Tb 3.23, 3 Ce 3.24-3.28, 2 La 3.30
Bi 0.7415 0.7415 0.7454  1 Tb 3.24, 3 Ce 3.25-3.29, 2 La 3.30
Bi 0.9105 0.5834 0.2514  1 Tb 3.23, 3 Ce 3.24-3.28, 2 La 3.30

Energy relative to the elements ... -892 meV/atom
D(E_F) ... 1.650 states/eV/atom
Space-group type ... C2/m


The following is a PBE calculation of LaCeTh2Bi4 after structural relaxation, from Alexandria.

Lattice parameters (Å, degrees): 8.0161 4.6202 8.0188 90.00 109.40 90.00
With the nearest neighbours (Å) after each atom.
Fractional coordinates of all 8 atoms:
La 0.0000 0.0000 0.0000  6 Bi 3.29
Ce 0.5000 0.5000 0.0000  6 Bi 3.27
Th 0.0000 0.5000 0.5000  6 Bi 3.27
Th 0.5000 0.0000 0.5000  6 Bi 3.25
Bi 0.2515 0.0000 0.7486  3 Th 3.25-3.27, 2 Ce 3.27, 1 La 3.29
Bi 0.2532 0.5000 0.2531  3 Th 3.25-3.27, 1 Ce 3.27, 2 La 3.29
Bi 0.7468 0.5000 0.7469  3 Th 3.25-3.27, 1 Ce 3.27, 2 La 3.29
Bi 0.7485 0.0000 0.2514  3 Th 3.25-3.27, 2 Ce 3.27, 1 La 3.29

Energy relative to the elements ... -758 meV/atom
D(E_F) ... 1.391 states/eV/atom
Space-group type ... P2/m


The following is a PBE calculation of La2CeThBi5 after structural relaxation, from Alexandria.

Lattice parameters (Å, degrees): 5.7536 5.7536 12.0907 90.00 90.00 90.00
With the nearest neighbours (Å) after each atom.
Fractional coordinates of all 9 atoms:
La 0.0000 0.0000 0.2164  1 Bi 3.43
La 0.0000 0.0000 0.7836  1 Bi 3.43
Ce 0.5000 0.5000 0.5000  2 Bi 2.96
Th 0.5000 0.5000 0.0000  6 Bi 2.88-3.09
Bi 0.0000 0.0000 0.5000  2 La 3.43
Bi 0.0000 0.5000 0.0000  2 Th 2.88
Bi 0.5000 0.0000 0.0000  2 Th 2.88
Bi 0.5000 0.5000 0.2552  1 Ce 2.96, 1 Th 3.09
Bi 0.5000 0.5000 0.7448  1 Ce 2.96, 1 Th 3.09

Energy relative to the elements ... -101 meV/atom
D(E_F) ... 1.284 states/eV/atom
Space-group type ... P4/mmm


The following is a PBE calculation of LaCe2ThBi5 after structural relaxation, from Alexandria.

Lattice parameters (Å, degrees): 5.7453 5.7453 12.1816 90.00 90.00 90.00
With the nearest neighbours (Å) after each atom.
Fractional coordinates of all 9 atoms:
La 0.0000 0.0000 0.0000  2 Bi 3.01
Ce 0.5000 0.5000 0.2785  1 Bi 3.39
Ce 0.5000 0.5000 0.7215  1 Bi 3.39
Th 0.0000 0.0000 0.5000  6 Bi 2.87-3.08
Bi 0.0000 0.0000 0.2473  1 La 3.01, 1 Th 3.08
Bi 0.0000 0.0000 0.7527  1 La 3.01, 1 Th 3.08
Bi 0.0000 0.5000 0.5000  2 Th 2.87
Bi 0.5000 0.0000 0.5000  2 Th 2.87
Bi 0.5000 0.5000 0.0000  2 Ce 3.39

Energy relative to the elements ... 7 meV/atom
D(E_F) ... 2.490 states/eV/atom
Space-group type ... P4/mmm


The following is a PBE calculation of La2CeThBi4 after structural relaxation, from Alexandria.

Lattice parameters (Å, degrees): 8.0521 4.6497 8.0672 90.00 109.41 90.00
With the nearest neighbours (Å) after each atom.
Fractional coordinates of all 8 atoms:
La 0.0000 0.0000 0.0000  6 Bi 3.32
La 0.5000 0.5000 0.0000  6 Bi 3.31-3.32
Ce 0.0000 0.5000 0.5000  6 Bi 3.26-3.27
Th 0.5000 0.0000 0.5000  6 Bi 3.26
Bi 0.2485 0.0000 0.7440  1 Th 3.26, 2 Ce 3.27, 3 La 3.32
Bi 0.2522 0.5000 0.2559  2 Th 3.26, 1 Ce 3.26, 3 La 3.31-3.32
Bi 0.7478 0.5000 0.7441  2 Th 3.26, 1 Ce 3.26, 3 La 3.31-3.32
Bi 0.7515 0.0000 0.2560  1 Th 3.26, 2 Ce 3.27, 3 La 3.32

Energy relative to the elements ... -885 meV/atom
D(E_F) ... 1.118 states/eV/atom
Space-group type ... P2/m


The following is a PBE calculation of LaCeTlBi after structural relaxation, from Alexandria.

Lattice parameters (Å, degrees): 5.6142 5.6142 5.6142 60.00 60.00 60.00
With the nearest neighbours (Å) after each atom.
Fractional coordinates of all 4 atoms:
La 0.0000 0.0000 0.0000  4 Bi 3.44, 4 Tl 3.44
Ce 0.5000 0.5000 0.5000  4 Tl 3.44, 4 Bi 3.44
Tl 0.2500 0.2500 0.2500  4 La 3.44, 4 Ce 3.44
Bi 0.7500 0.7500 0.7500  4 La 3.44, 4 Ce 3.44

Energy relative to the elements ... -462 meV/atom
D(E_F) ... 2.494 states/eV/atom
Space-group type ... F-43m


The following is a PBE calculation of LaCe2TmBi5 after structural relaxation, from Alexandria.

Lattice parameters (Å, degrees): 5.4073 5.4073 12.0881 90.00 90.00 90.00
With the nearest neighbours (Å) after each atom.
Fractional coordinates of all 9 atoms:
La 0.0000 0.0000 0.0000  2 Bi 3.06
Ce 0.5000 0.5000 0.2819  5 Bi 3.41-3.78
Ce 0.5000 0.5000 0.7181  5 Bi 3.41-3.78
Tm 0.0000 0.0000 0.5000  6 Bi 2.70-2.99
Bi 0.0000 0.0000 0.2530  1 Tm 2.99, 1 La 3.06
Bi 0.0000 0.0000 0.7470  1 Tm 2.99, 1 La 3.06
Bi 0.0000 0.5000 0.5000  2 Tm 2.70
Bi 0.5000 0.0000 0.5000  2 Tm 2.70
Bi 0.5000 0.5000 0.0000  2 Ce 3.41

Energy relative to the elements ... -200 meV/atom
D(E_F) ... 2.106 states/eV/atom
Space-group type ... P4/mmm


The following is a PBE calculation of La2CeTmBi4 after structural relaxation, from Alexandria.

Lattice parameters (Å, degrees): 7.9828 4.6193 7.9915 90.00 109.51 90.00
With the nearest neighbours (Å) after each atom.
Fractional coordinates of all 8 atoms:
La 0.0000 0.0000 0.0000  6 Bi 3.33
La 0.5000 0.5000 0.0000  6 Bi 3.29
Ce 0.0000 0.5000 0.5000  6 Bi 3.23
Tm 0.5000 0.0000 0.5000  6 Bi 3.19
Bi 0.2507 0.0000 0.7400  1 Tm 3.19, 2 Ce 3.23, 3 La 3.29-3.33
Bi 0.2582 0.5000 0.2631  2 Tm 3.19, 1 Ce 3.23, 3 La 3.29-3.33
Bi 0.7418 0.5000 0.7369  2 Tm 3.19, 1 Ce 3.23, 3 La 3.29-3.33
Bi 0.7493 0.0000 0.2600  1 Tm 3.19, 2 Ce 3.23, 3 La 3.29-3.33

Energy relative to the elements ... -916 meV/atom
D(E_F) ... 0.856 states/eV/atom
Space-group type ... P2/m


The following is a PBE calculation of LaCe2Y3Bi6 after structural relaxation, from Alexandria.

Lattice parameters (Å, degrees): 7.9131 7.9131 7.8801 99.64 99.64 120.00
With the nearest neighbours (Å) after each atom.
Fractional coordinates of all 12 atoms:
La 0.0000 0.0000 0.0000  6 Bi 3.28-3.29
Ce 0.3327 0.6673 0.0000  6 Bi 3.24-3.25
Ce 0.6673 0.3327 0.0000  6 Bi 3.24-3.25
Y 0.1651 0.8349 0.5000  6 Bi 3.18-3.20
Y 0.5000 0.5000 0.5000  6 Bi 3.17-3.20
Y 0.8349 0.1651 0.5000  6 Bi 3.18-3.20
Bi 0.0863 0.4234 0.2584  3 Y 3.18-3.20, 2 Ce 3.24-3.25, 1 La 3.29
Bi 0.2517 0.2517 0.7428  3 Y 3.17-3.19, 2 Ce 3.25, 1 La 3.28
Bi 0.4234 0.0863 0.2584  3 Y 3.18-3.20, 2 Ce 3.24-3.25, 1 La 3.29
Bi 0.5766 0.9137 0.7416  3 Y 3.18-3.20, 2 Ce 3.24-3.25, 1 La 3.29
Bi 0.7483 0.7483 0.2572  3 Y 3.17-3.19, 2 Ce 3.25, 1 La 3.28
Bi 0.9137 0.5766 0.7416  3 Y 3.18-3.20, 2 Ce 3.24-3.25, 1 La 3.29

Energy relative to the elements ... -891 meV/atom
D(E_F) ... 1.106 states/eV/atom
Space-group type ... C2/m


The following is a PBE calculation of Li3CeBi2 after structural relaxation, from Alexandria.

Lattice parameters (Å, degrees): 4.7159 4.7159 7.4987 90.00 90.00 120.00
With the nearest neighbours (Å) after each atom.
Fractional coordinates of all 6 atoms:
Li 0.0000 0.0000 0.0000  6 Li 2.94
Li 0.3333 0.6667 0.8528  4 Bi 2.83-2.96, 3 Li 2.94
Li 0.6667 0.3333 0.1472  4 Bi 2.83-2.96, 3 Li 2.94
Ce 0.0000 0.0000 0.5000  6 Bi 3.31
Bi 0.3333 0.6667 0.2479  4 Li 2.83-2.96
Bi 0.6667 0.3333 0.7521  4 Li 2.83-2.96

Energy relative to the elements ... -642 meV/atom
Polymorph energy (0 for the lowest one) ... 0 meV/atom
D(E_F) ... 1.112 states/eV/atom
Space-group type ... P-3m1